(1)
VASP calculation (GGA-PBE) on a geometry-optimized FeCo2Se structure.

Results
**Raw formation energy**: 0.2311 eV/atom

Cell: 2.952 4.074 8.218 Å, 90.00 90.00 90.00°
Space group Immm (No. 71)
One atom of each set of equivalent atoms:
Fe: 0.000 0.000 0.000 x2
Co: 0.000 0.500 0.232 x4
Se: 0.000 0.000 0.500 x2

(2)
VASP calculation (GGA-PBE) on a geometry-optimized CsRb2MgCl structure.

Results
**Raw formation energy**: -0.5947 eV/atom

Cell: 6.494 6.494 6.812 Å, 90.00 90.00 90.00°
Space group P4/mmm (No. 123)
One atom of each set of equivalent atoms:
Cs: 0.000 0.000 0.000 x1
Rb: 0.000 0.500 0.500 x2
Mg: 0.500 0.500 0.000 x1
Cl: 0.000 0.000 0.500 x1

(3)
VASP calculation (GGA-PBE) on a geometry-optimized PrGd4Tm structure.

Results
**Formation energy from the elements**: 0.2535 eV/atom

Cell: 9.340 9.340 9.340 Å, 90.00 90.00 90.00°
Space group F-43m (No. 216)
One atom of each set of equivalent atoms:
Pr: 0.000 0.000 0.000 x4
Gd: 0.125 0.125 0.625 x16
Tm: 0.250 0.250 0.250 x4

(4)
VASP calculation (GGA-PBE) on a geometry-optimized LiTlNO2 structure.

Results
**Raw formation energy**: 0.5716 eV/atom

Cell: 4.351 4.351 4.396 Å, 90.00 90.00 90.00°
Space group P4/mmm (No. 123)
One atom of each set of equivalent atoms:
Li: 0.000 0.000 0.000 x1
Tl: 0.500 0.500 0.500 x1
N: 0.500 0.500 0.000 x1
O: 0.000 0.500 0.500 x2

(5)
VASP calculation (GGA-PBE) on a geometry-optimized DyCdPdPb structure.

Results
**Formation energy from the elements**: -0.4036 eV/atom

Cell: 7.134 7.134 7.134 Å, 90.00 90.00 90.00°
Space group F-43m (No. 216)
One atom of each set of equivalent atoms:
Dy: 0.000 0.000 0.000 x4
Cd: 0.250 0.250 0.250 x4
Pd: 0.250 0.250 0.750 x4
Pb: 0.000 0.000 0.500 x4

(6)
VASP calculation (GGA-PBE) on a geometry-optimized CaBe3W structure.

Results
**Formation energy from the elements**: 2.4362 eV/atom

Cell: 4.193 4.193 4.193 Å, 90.00 90.00 90.00°
Space group Pm-3m (No. 221)
One atom of each set of equivalent atoms:
Ca: 0.000 0.000 0.000 x1
Be: 0.000 0.000 0.500 x3
W: 0.500 0.500 0.500 x1

(7)
VASP calculation (GGA-PBE) on a geometry-optimized LiTaTl structure.

Results
**Formation energy from the elements**: 0.4217 eV/atom

Cell: 2.925 2.925 13.629 Å, 90.00 90.00 90.00°
Space group I4mm (No. 107)
One atom of each set of equivalent atoms:
Li: 0.000 0.000 0.000 x2
Ta: 0.000 0.000 0.331 x2
Tl: 0.000 0.000 0.656 x2

(8)
VASP calculation (GGA-PBE) on a geometry-optimized AcZn2Au4 structure.

Results
**Formation energy from the elements**: -0.5136 eV/atom

Cell: 7.219 7.219 5.466 Å, 90.00 90.00 90.00°
Space group I4/mmm (No. 139)
One atom of each set of equivalent atoms:
Ac: 0.000 0.000 0.000 x2
Zn: 0.000 0.500 0.250 x4
Au: 0.197 0.197 0.500 x8